K2SiH6 (PBE-GGA, relaxed); energy above the most stable polymorph in this dataset = 18 meV per atom; crystal system = monoclinic; space-group type = C2/m, No. 12; calculated total energy = -3.2561 eV per atom; magnetic moment = 0.00 μB/cell; volume = 12.114 Å³ per atom
1.0
4.609 -2.663 0.000
4.609 2.663 0.000
-0.009 0.000 4.441
K Si H
2 1 6
direct
0.167 0.167 0.271 K
0.833 0.833 0.729 K
0.500 0.500 0.000 Si
0.212 0.644 0.207 H
0.356 0.356 0.793 H
0.356 0.788 0.793 H
0.644 0.212 0.207 H
0.644 0.644 0.207 H
0.788 0.356 0.793 H

KSiH3 (PBE-GGA, relaxed); energy above the most stable polymorph in this dataset = 0 meV per atom; crystal system = orthorhombic; space-group type = Pnma, No. 62; calculated total energy = -3.4698 eV per atom; magnetic moment = 0.00 μB/cell; volume = 15.680 Å³ per atom
1.0
8.734 0.000 0.000
0.000 5.296 0.000
0.000 0.000 6.779
K Si H
4 4 12
direct
0.187 0.250 0.152 K
0.313 0.750 0.652 K
0.687 0.250 0.348 K
0.813 0.750 0.848 K
0.045 0.250 0.649 Si
0.455 0.750 0.149 Si
0.545 0.250 0.851 Si
0.955 0.750 0.351 Si
0.080 0.038 0.802 H
0.080 0.462 0.802 H
0.128 0.750 0.302 H
0.372 0.250 0.802 H
0.420 0.538 0.302 H
0.420 0.962 0.302 H
0.580 0.038 0.698 H
0.580 0.462 0.698 H
0.628 0.750 0.198 H
0.872 0.250 0.698 H
0.920 0.538 0.198 H
0.920 0.962 0.198 H

KSiH2 (PBE-GGA, relaxed); energy above the most stable polymorph in this dataset = 348 meV per atom; crystal system = tetragonal; space-group type = I-42d, No. 122; calculated total energy = -2.9853 eV per atom; magnetic moment = 0.00 μB/cell; volume = 16.383 Å³ per atom
1.0
4.842 0.000 0.000
0.000 4.842 0.000
0.000 0.000 11.182
K Si H
4 4 8
direct
0.000 0.000 0.000 K
0.000 0.500 0.250 K
0.500 0.000 0.750 K
0.500 0.500 0.500 K
0.000 0.000 0.500 Si
0.000 0.500 0.750 Si
0.500 0.000 0.250 Si
0.500 0.500 0.000 Si
0.011 0.250 0.625 H
0.250 0.511 0.875 H
0.250 0.989 0.375 H
0.489 0.250 0.125 H
0.511 0.750 0.125 H
0.750 0.011 0.375 H
0.750 0.489 0.875 H
0.989 0.750 0.625 H

KSiH2 (PBE-GGA, relaxed); energy above the most stable polymorph in this dataset = 0 meV per atom; crystal system = monoclinic; space-group type = P2_1/m, No. 11; calculated total energy = -3.3332 eV per atom; magnetic moment = 0.23 μB/cell; volume = 23.609 Å³ per atom
1.0
6.353 0.000 0.000
0.000 4.791 0.000
-1.536 0.000 6.205
K Si H
2 2 4
direct
0.191 0.250 0.309 K
0.809 0.750 0.691 K
0.468 0.750 0.032 Si
0.532 0.250 0.968 Si
0.220 0.750 0.990 H
0.487 0.250 0.721 H
0.513 0.750 0.279 H
0.780 0.250 0.010 H

K3SiH7 (PBE-GGA, relaxed); crystal system = monoclinic; space-group type = C2/m, No. 12; calculated total energy = -3.0774 eV per atom; magnetic moment = 0.00 μB/cell; volume = 14.488 Å³ per atom
1.0
3.723 -3.763 0.000
3.723 3.763 0.000
-0.205 0.000 5.688
K Si H
3 1 7
direct
0.000 0.000 0.000 K
0.000 0.500 0.500 K
0.500 0.000 0.500 K
0.500 0.500 0.000 Si
0.000 0.000 0.500 H
0.211 0.514 0.910 H
0.407 0.407 0.255 H
0.486 0.789 0.090 H
0.514 0.211 0.910 H
0.593 0.593 0.745 H
0.789 0.486 0.090 H

KSiH5 (PBE-GGA, relaxed); crystal system = monoclinic; space-group type = C2/c, No. 15; calculated total energy = -3.2162 eV per atom; magnetic moment = 0.00 μB/cell; volume = 11.467 Å³ per atom
1.0
2.891 -5.903 0.000
2.891 5.903 0.000
-1.516 0.000 4.704
K Si H
2 2 10
direct
0.168 0.832 0.750 K
0.832 0.168 0.250 K
0.500 0.500 0.000 Si
0.500 0.500 0.500 Si
0.047 0.953 0.250 H
0.147 0.224 0.862 H
0.224 0.147 0.362 H
0.315 0.587 0.483 H
0.413 0.685 0.017 H
0.587 0.315 0.983 H
0.685 0.413 0.517 H
0.776 0.853 0.638 H
0.853 0.776 0.138 H
0.953 0.047 0.750 H

KSiH3 (PBE-GGA, relaxed); energy above the most stable polymorph in this dataset = 1443 meV per atom; crystal system = cubic; space-group type = Pm-3m, No. 221; calculated total energy = -2.0270 eV per atom; magnetic moment = 0.00 μB/cell; volume = 15.636 Å³ per atom
1.0
4.276 0.000 0.000
0.000 4.276 0.000
0.000 0.000 4.276
K Si H
1 1 3
direct
0.000 0.000 0.000 K
0.500 0.500 0.500 Si
0.000 0.000 0.500 H
0.000 0.500 0.000 H
0.500 0.000 0.000 H

K2SiH3 (PBE-GGA, relaxed); crystal system = orthorhombic; space-group type = Fmmm, No. 69; calculated total energy = -2.8269 eV per atom; magnetic moment = 0.00 μB/cell; volume = 26.349 Å³ per atom
1.0
0.000 4.762 7.694
4.315 0.000 7.694
4.315 4.762 0.000
K Si H
4 2 6
direct
0.225 0.775 0.225 K
0.250 0.250 0.250 K
0.750 0.750 0.750 K
0.775 0.225 0.775 K
0.335 0.335 0.665 Si
0.665 0.665 0.335 Si
0.229 0.536 0.771 H
0.236 0.236 0.764 H
0.464 0.771 0.536 H
0.536 0.229 0.464 H
0.764 0.764 0.236 H
0.771 0.464 0.229 H

K2SiH6 (PBE-GGA, relaxed); energy above the most stable polymorph in this dataset = 0 meV per atom; crystal system = cubic; space-group type = Fm-3m, No. 225; calculated total energy = -3.2745 eV per atom; magnetic moment = 0.00 μB/cell; volume = 12.797 Å³ per atom
1.0
0.000 3.862 3.862
3.862 0.000 3.862
3.862 3.862 0.000
K Si H
2 1 6
direct
0.250 0.250 0.250 K
0.750 0.750 0.750 K
0.000 0.000 0.000 Si
0.209 0.209 0.791 H
0.209 0.791 0.209 H
0.209 0.791 0.791 H
0.791 0.209 0.209 H
0.791 0.209 0.791 H
0.791 0.791 0.209 H

K3Si2H8 (PBE-GGA, relaxed); crystal system = trigonal; space-group type = R-3m, No. 166; calculated total energy = -3.0665 eV per atom; magnetic moment = 0.00 μB/cell; volume = 14.903 Å³ per atom
1.0
2.520 1.455 8.807
-2.520 1.455 8.807
0.000 -2.910 8.807
K Si H
3 2 8
direct
0.000 0.000 0.000 K
0.204 0.204 0.204 K
0.796 0.796 0.796 K
0.405 0.405 0.405 Si
0.595 0.595 0.595 Si
0.265 0.710 0.710 H
0.290 0.290 0.735 H
0.290 0.735 0.290 H
0.299 0.299 0.299 H
0.701 0.701 0.701 H
0.710 0.265 0.710 H
0.710 0.710 0.265 H
0.735 0.290 0.290 H

KSiTc2H (PBE-GGA, relaxed); crystal system = tetragonal; space-group type = P4/mmm, No. 123; calculated total energy = -5.0992 eV per atom; magnetic moment = 0.46 μB/cell; volume = 14.526 Å³ per atom
1.0
4.000 0.000 0.000
0.000 4.000 0.000
0.000 0.000 4.539
K Si Tc H
1 1 2 1
direct
0.000 0.000 0.000 K
0.500 0.500 0.000 Si
0.000 0.500 0.500 Tc
0.500 0.000 0.500 Tc
0.000 0.000 0.500 H

KSi2TeH (PBE-GGA, relaxed); crystal system = tetragonal; space-group type = P4/mmm, No. 123; calculated total energy = -3.1863 eV per atom; magnetic moment = 0.00 μB/cell; volume = 19.704 Å³ per atom
1.0
4.469 0.000 0.000
0.000 4.469 0.000
0.000 0.000 4.932
K Si Te H
1 2 1 1
direct
0.000 0.000 0.000 K
0.000 0.500 0.500 Si
0.500 0.000 0.500 Si
0.500 0.500 0.000 Te
0.000 0.000 0.500 H

K2ZrSiH (PBE-GGA, relaxed); crystal system = tetragonal; space-group type = P4/mmm, No. 123; calculated total energy = -3.4484 eV per atom; magnetic moment = 1.01 μB/cell; volume = 22.247 Å³ per atom
1.0
4.398 0.000 0.000
0.000 4.398 0.000
0.000 0.000 5.751
K Zr Si H
2 1 1 1
direct
0.000 0.500 0.000 K
0.500 0.000 0.000 K
0.000 0.000 0.500 Zr
0.500 0.500 0.500 Si
0.000 0.000 0.000 H

KSmH (PBE-GGA, relaxed); crystal system = orthorhombic; space-group type = Amm2, No. 38; calculated total energy = -2.9721 eV per atom; magnetic moment = 0.00 μB/cell; volume = 26.769 Å³ per atom
1.0
14.123 0.000 0.000
0.000 3.625 0.000
0.000 0.000 6.275
K Sm H
4 4 4
direct
0.124 0.000 0.000 K
0.124 0.500 0.500 K
0.876 0.000 0.000 K
0.876 0.500 0.500 K
0.387 0.000 0.338 Sm
0.387 0.500 0.838 Sm
0.613 0.000 0.338 Sm
0.613 0.500 0.838 Sm
0.000 0.000 0.333 H
0.000 0.500 0.833 H
0.500 0.000 0.004 H
0.500 0.500 0.504 H

KSnH3 (PBE-GGA, relaxed); energy above the most stable polymorph in this dataset = 873 meV per atom; crystal system = cubic; space-group type = Pm-3m, No. 221; calculated total energy = -2.2398 eV per atom; magnetic moment = 0.00 μB/cell; volume = 17.139 Å³ per atom
1.0
4.409 0.000 0.000
0.000 4.409 0.000
0.000 0.000 4.409
K Sn H
1 1 3
direct
0.000 0.000 0.000 K
0.500 0.500 0.500 Sn
0.000 0.000 0.500 H
0.000 0.500 0.000 H
0.500 0.000 0.000 H

K2Sn2H3 (PBE-GGA, relaxed); crystal system = monoclinic; space-group type = P2/m, No. 10; calculated total energy = -2.9210 eV per atom; magnetic moment = 0.00 μB/cell; volume = 21.099 Å³ per atom
1.0
7.064 0.000 0.000
0.000 3.310 0.000
-3.403 0.000 6.317
K Sn H
2 2 3
direct
0.220 0.000 0.285 K
0.780 0.000 0.715 K
0.288 0.500 0.798 Sn
0.712 0.500 0.202 Sn
0.000 0.500 0.000 H
0.433 0.500 0.635 H
0.567 0.500 0.365 H

K3SnH (PBE-GGA, relaxed); energy above the most stable polymorph in this dataset = 0 meV per atom; crystal system = monoclinic; space-group type = C2/m, No. 12; calculated total energy = -2.2286 eV per atom; magnetic moment = 0.00 μB/cell; volume = 33.624 Å³ per atom
1.0
6.682 -3.858 0.000
6.682 3.858 0.000
-4.463 0.000 6.521
K Sn H
6 2 2
direct
0.091 0.091 0.253 K
0.091 0.570 0.253 K
0.430 0.909 0.747 K
0.570 0.091 0.253 K
0.909 0.430 0.747 K
0.909 0.909 0.747 K
0.428 0.428 0.783 Sn
0.572 0.572 0.217 Sn
0.164 0.164 0.992 H
0.836 0.836 0.008 H

KSn2H (PBE-GGA, relaxed); energy above the most stable polymorph in this dataset = 515 meV per atom; crystal system = cubic; space-group type = Fm-3m, No. 225; calculated total energy = -2.4159 eV per atom; magnetic moment = 0.00 μB/cell; volume = 25.678 Å³ per atom
1.0
7.434 0.000 0.000
0.000 7.434 0.000
0.000 0.000 7.434
K Sn H
4 8 4
direct
0.000 0.000 0.000 K
0.000 0.500 0.500 K
0.500 0.000 0.500 K
0.500 0.500 0.000 K
0.250 0.250 0.250 Sn
0.250 0.250 0.750 Sn
0.250 0.750 0.250 Sn
0.250 0.750 0.750 Sn
0.750 0.250 0.250 Sn
0.750 0.250 0.750 Sn
0.750 0.750 0.250 Sn
0.750 0.750 0.750 Sn
0.000 0.000 0.500 H
0.000 0.500 0.000 H
0.500 0.000 0.000 H
0.500 0.500 0.500 H

KSnH3 (PBE-GGA, relaxed); energy above the most stable polymorph in this dataset = 157 meV per atom; crystal system = cubic; space-group type = Pm-3m, No. 221; calculated total energy = -2.9555 eV per atom; magnetic moment = 0.00 μB/cell; volume = 16.282 Å³ per atom
1.0
4.334 0.000 0.000
0.000 4.334 0.000
0.000 0.000 4.334
K Sn H
1 1 3
direct
0.000 0.000 0.000 K
0.500 0.500 0.500 Sn
0.000 0.500 0.500 H
0.500 0.000 0.500 H
0.500 0.500 0.000 H

K3Sn5H12 (PBE-GGA, relaxed); crystal system = cubic; space-group type = Ia-3d, No. 230; calculated total energy = -2.9373 eV per atom; magnetic moment = 0.00 μB/cell; volume = 17.135 Å³ per atom
1.0
-6.998 6.998 6.998
6.998 -6.998 6.998
6.998 6.998 -6.998
K Sn H
12 20 48
direct
0.125 0.250 0.375 K
0.125 0.375 0.750 K
0.250 0.375 0.125 K
0.250 0.875 0.625 K
0.375 0.125 0.250 K
0.375 0.750 0.125 K
0.625 0.250 0.875 K
0.625 0.875 0.750 K
0.750 0.125 0.375 K
0.750 0.625 0.875 K
0.875 0.625 0.250 K
0.875 0.750 0.625 K
0.000 0.000 0.000 Sn
0.000 0.000 0.500 Sn
0.000 0.500 0.000 Sn
0.000 0.500 0.500 Sn
0.125 0.750 0.875 Sn
0.125 0.875 0.250 Sn
0.250 0.125 0.875 Sn
0.250 0.625 0.375 Sn
0.375 0.250 0.625 Sn
0.375 0.625 0.750 Sn
0.500 0.000 0.000 Sn
0.500 0.000 0.500 Sn
0.500 0.500 0.000 Sn
0.500 0.500 0.500 Sn
0.625 0.375 0.250 Sn
0.625 0.750 0.375 Sn
0.750 0.375 0.625 Sn
0.750 0.875 0.125 Sn
0.875 0.125 0.750 Sn
0.875 0.250 0.125 Sn
0.008 0.176 0.087 H
0.008 0.332 0.921 H
0.079 0.587 0.410 H
0.079 0.992 0.668 H
0.087 0.008 0.176 H
0.087 0.579 0.910 H
0.090 0.676 0.668 H
0.090 0.913 0.421 H
0.168 0.176 0.590 H
0.168 0.492 0.579 H
0.176 0.087 0.008 H
0.176 0.590 0.168 H
0.324 0.332 0.910 H
0.324 0.492 0.413 H
0.332 0.910 0.324 H
0.332 0.921 0.008 H
0.410 0.079 0.587 H
0.410 0.832 0.824 H
0.413 0.324 0.492 H
0.413 0.590 0.921 H
0.421 0.090 0.913 H
0.421 0.832 0.508 H
0.492 0.413 0.324 H
0.492 0.579 0.168 H
0.508 0.421 0.832 H
0.508 0.587 0.676 H
0.579 0.168 0.492 H
0.579 0.910 0.087 H
0.587 0.410 0.079 H
0.587 0.676 0.508 H
0.590 0.168 0.176 H
0.590 0.921 0.413 H
0.668 0.079 0.992 H
0.668 0.090 0.676 H
0.676 0.508 0.587 H
0.676 0.668 0.090 H
0.824 0.410 0.832 H
0.824 0.913 0.992 H
0.832 0.508 0.421 H
0.832 0.824 0.410 H
0.910 0.087 0.579 H
0.910 0.324 0.332 H
0.913 0.421 0.090 H
0.913 0.992 0.824 H
0.921 0.008 0.332 H
0.921 0.413 0.590 H
0.992 0.668 0.079 H
0.992 0.824 0.913 H